# Tb3Ga5Cu

A relaxed Tb3Ga5Cu crystal (PBE, OQMD).

Lattice parameters (Å, degrees): 6.9925 6.9925 4.2391 90.00 90.00 120.00
Last column: nearest neighbours and their distance in Å.
Positions (direct):
Tb: 0.0000 0.5940 0.0000  1 Cu 2.84, 4 Ga 3.00
Tb: 0.4060 0.4060 0.0000  1 Cu 2.84, 4 Ga 3.00
Tb: 0.5940 0.0000 0.0000  1 Cu 2.84, 4 Ga 3.00
Ga: 0.0000 0.2374 0.5000  2 Cu 2.69, 4 Ga 2.73-2.88
Ga: 0.2374 0.0000 0.5000  2 Cu 2.69, 4 Ga 2.73-2.88
Ga: 0.3333 0.6667 0.5000  3 Ga 2.73, 6 Tb 3.00
Ga: 0.6667 0.3333 0.5000  3 Ga 2.73, 6 Tb 3.00
Ga: 0.7626 0.7626 0.5000  2 Cu 2.69, 4 Ga 2.73-2.88
Cu: 0.0000 0.0000 0.0000  6 Ga 2.69, 3 Tb 2.84

Results
ρ, g cm⁻³: 8.22
Energy, eV per atom: -4.24